A plane-wave DFT calculation with PBE was carried out for a relaxed Nd6ErS8 crystal.

Results
Theoretical density in g cm⁻³: 4.1
Crystal system: trigonal
VASP energy in eV/atom: -6.055
Raw formation energy in eV/atom: -1.642
E above lowest polymorph in eV/f.u.: 6.14
SG: R-3, No. 148

a = 8.1206 Å, b = 8.1206 Å, c = 8.1206 Å
α = 98.48°, β = 98.48°, γ = 98.48°
Last column: nearest neighbours and their distance in Å.
Fractional positions:
S  0.5819  0.8438  0.3454  4 Nd 2.77-2.84
S  0.3454  0.5819  0.8438  4 Nd 2.77-2.84
S  0.6546  0.4181  0.1562  4 Nd 2.77-2.84
S  0.2191  0.2191  0.2191  1 Er 2.59, 3 Nd 2.86
S  0.8438  0.3454  0.5819  4 Nd 2.77-2.84
S  0.1562  0.6546  0.4181  4 Nd 2.77-2.84
S  0.4181  0.1562  0.6546  4 Nd 2.77-2.84
S  0.7809  0.7809  0.7809  1 Er 2.59, 3 Nd 2.86
Nd  0.5537  0.1801  0.3542  5 S 2.77-2.86
Nd  0.4463  0.8199  0.6458  5 S 2.77-2.86
Nd  0.8199  0.6458  0.4463  5 S 2.77-2.86
Nd  0.6458  0.4463  0.8199  5 S 2.77-2.86
Nd  0.3542  0.5537  0.1801  5 S 2.77-2.86
Nd  0.1801  0.3542  0.5537  5 S 2.77-2.86
Er  0.0000  0.0000  0.0000  2 S 2.59



A plane-wave DFT calculation with PBE was carried out for a relaxed BaMnPt2 crystal.

Results
Theoretical density in g cm⁻³: 10.9
Crystal system: orthorhombic
VASP energy in eV/atom: -5.821
Energy of formation in eV/atom: -0.028
SG: Imm2, No. 44

a = 5.9672 Å, b = 5.9672 Å, c = 5.9672 Å
α = 147.05°, β = 129.14°, γ = 61.94°
Last column: nearest neighbours and their distance in Å.
Fractional positions:
Pt  0.0097  0.0097  0.0000  2 Mn 2.62, 2 Pt 2.87
Pt  0.7836  0.2836  0.5000  2 Pt 2.87, 4 Mn 3.17
Mn  0.2048  0.7048  0.5000  2 Pt 2.62
Ba  0.5019  0.5019  0.0000  8 Pt 3.07-3.40, 2 Mn 3.30, 2 Ba 3.39



A plane-wave DFT calculation with PBE was carried out for a relaxed Tb6Cu2Pd crystal.

Results
Theoretical density in g cm⁻³: 8.7
Crystal system: orthorhombic
VASP energy in eV/atom: -4.855
Energy of formation in eV/atom: -0.281
SG: Immm, No. 71

a = 8.3801 Å, b = 8.3801 Å, c = 8.3801 Å
α = 108.70°, β = 110.29°, γ = 109.43°
Last column: nearest neighbours and their distance in Å.
Fractional positions:
Tb  0.3018  0.6271  0.3253  3 Cu 2.77-2.94
Tb  0.1853  0.7459  0.9311  2 Cu 2.95-3.25, 2 Pd 2.99-3.05
Tb  0.4415  0.2650  0.1765  3 Cu 3.06-3.07, 1 Pd 3.07, 1 Tb 3.38
Tb  0.9115  0.7350  0.1765  3 Cu 3.06-3.07, 1 Pd 3.07, 1 Tb 3.38
Tb  0.6982  0.0235  0.3253  3 Cu 2.77-2.94
Tb  0.3018  0.9765  0.6747  3 Cu 2.77-2.94
Tb  0.8147  0.7459  0.5606  2 Cu 2.95-3.25, 2 Pd 2.99-3.05
Tb  0.1853  0.2541  0.4394  2 Cu 2.95-3.25, 2 Pd 2.99-3.05
Tb  0.0885  0.2650  0.8235  3 Cu 3.06-3.07, 1 Pd 3.07, 1 Tb 3.38
Tb  0.8147  0.2541  0.0689  2 Cu 2.95-3.25, 2 Pd 2.99-3.05
Tb  0.5585  0.7350  0.8235  3 Cu 3.06-3.07, 1 Pd 3.07, 1 Tb 3.38
Tb  0.6982  0.3729  0.6747  3 Cu 2.77-2.94
Pd  0.0000  0.0000  0.0000  8 Tb 3.05-3.07, 2 Cu 3.36
Pd  0.0000  0.5000  0.5000  4 Tb 2.99
Cu  0.5000  0.3798  0.8798  1 Cu 2.35
Cu  0.3513  0.0000  0.3513  1 Cu 2.85, 8 Tb 2.94-3.06
Cu  0.5000  0.6202  0.1202  1 Cu 2.35
Cu  0.6487  0.0000  0.6487  1 Cu 2.85, 8 Tb 2.94-3.06



Copy entry 2 word for word.
A plane-wave DFT calculation with PBE was carried out for a relaxed BaMnPt2 crystal.

Results
Theoretical density in g cm⁻³: 10.9
Crystal system: orthorhombic
VASP energy in eV/atom: -5.821
Energy of formation in eV/atom: -0.028
SG: Imm2, No. 44

a = 5.9672 Å, b = 5.9672 Å, c = 5.9672 Å
α = 147.05°, β = 129.14°, γ = 61.94°
Last column: nearest neighbours and their distance in Å.
Fractional positions:
Pt  0.0097  0.0097  0.0000  2 Mn 2.62, 2 Pt 2.87
Pt  0.7836  0.2836  0.5000  2 Pt 2.87, 4 Mn 3.17
Mn  0.2048  0.7048  0.5000  2 Pt 2.62
Ba  0.5019  0.5019  0.0000  8 Pt 3.07-3.40, 2 Mn 3.30, 2 Ba 3.39